[1]
ScMnSN2: relaxed, GGA-PBE.

Calculated values
distance to the lowest polymorph of the same formula	0.00	eV per formula unit
space group	P4/mmm, No. 123

abc: 3.6450 3.6450 4.7538
angles: 90.00 90.00 90.00
With the nearest neighbours (Å) after each atom.
Element x y z (fractional)
Sc  0.5000  0.5000  0.5000  4 S 2.58
S  0.0000  0.0000  0.5000  2 Mn 2.38, 4 Sc 2.58
Mn  0.0000  0.0000  0.0000  4 N 1.82
N  0.0000  0.5000  0.0000  2 Mn 1.82
N  0.5000  0.0000  0.0000  2 Mn 1.82

[2]
NaTeSe2N: relaxed, GGA-PBE.

Calculated values
distance to the lowest polymorph of the same formula	3.42	eV per formula unit
space group	P4/mmm, No. 123

abc: 5.2966 5.2966 4.2549
angles: 90.00 90.00 90.00
With the nearest neighbours (Å) after each atom.
Element x y z (fractional)
Na  0.0000  0.0000  0.0000  2 N 2.13
Te  0.5000  0.5000  0.5000  8 Se 3.40, 4 N 3.75
Se  0.0000  0.5000  0.0000  2 Na 2.65
Se  0.5000  0.0000  0.0000  2 Na 2.65
N  0.0000  0.0000  0.5000  2 Na 2.13

Energy relative to the elements, uncorrected list, top to bottom, in eV per atom: -0.244 1.157
Spin magnetization list, top to bottom, in Bohr magnetons per cell: 0.00 3.02